Tm2CdOs (GGA-PBE, relaxed); symmetry = No. 123; calculated volume = 88.6 Å³/cell; M_tot = 0.0 μB/f.u.; VASP energy = -5.641 eV per atom; energy of formation = -0.373 eV/atom
1.0
3.4033 0.0000 0.0000
0.0000 3.4033 0.0000
0.0000 0.0000 7.6510
Tm Cd Os
2 1 1
Direct
0.0000 0.0000 0.2119
0.0000 0.0000 0.7881
0.5000 0.5000 0.5000
0.5000 0.5000 0.0000

LiTlNiSn (GGA-PBE, relaxed); symmetry = No. 216; calculated volume = 285.9 Å³/cell; M_tot = 0.0 μB/f.u.; VASP energy = -3.539 eV per atom; energy above the lowest structure with this stoichiometry = 0 meV per atom
1.0
6.5878 0.0000 0.0000
0.0000 6.5878 0.0000
0.0000 0.0000 6.5878
Li Tl Ni Sn
4 4 4 4
Direct
0.0000 0.0000 0.0000
0.0000 0.5000 0.5000
0.5000 0.0000 0.5000
0.5000 0.5000 0.0000
0.2500 0.2500 0.2500
0.2500 0.7500 0.7500
0.7500 0.2500 0.7500
0.7500 0.7500 0.2500
0.0000 0.0000 0.5000
0.0000 0.5000 0.0000
0.5000 0.0000 0.0000
0.5000 0.5000 0.5000
0.2500 0.2500 0.7500
0.2500 0.7500 0.2500
0.7500 0.2500 0.2500
0.7500 0.7500 0.7500

Cu7Ag3 (GGA-PBE, relaxed); symmetry = No. 8; calculated volume = 136.9 Å³/cell; VASP energy = -3.360 eV per atom; energy above the lowest structure with this stoichiometry = 45 meV per atom; energy of formation = 0.089 eV/atom
1.0
10.9398 -1.3749 0.0000
10.9398 1.3749 0.0000
-0.5282 0.0000 4.5507
Cu Ag
7 3
Direct
0.0000 0.0000 0.0000
0.0958 0.0958 0.7191
0.2924 0.2924 0.1140
0.4066 0.4066 0.8039
0.5034 0.5034 0.5144
0.5910 0.5910 0.1983
0.6933 0.6933 0.9079
0.1911 0.1911 0.4033
0.8010 0.8010 0.6298
0.9003 0.9003 0.2955

CsTePbAuSe2 (GGA-PBE, relaxed); symmetry = No. 63; calculated volume = 420.0 Å³/cell; VASP energy = -3.361 eV per atom
1.0
2.1102 -8.4295 0.0000
2.1102 8.4295 0.0000
0.0000 0.0000 11.8061
Cs Te Pb Au Se
2 2 2 2 4
Direct
0.2413 0.7587 0.7500
0.7587 0.2413 0.2500
0.0601 0.9399 0.2500
0.9399 0.0601 0.7500
0.0000 0.0000 0.0000
0.0000 0.0000 0.5000
0.4505 0.5495 0.2500
0.5495 0.4505 0.7500
0.3821 0.6179 0.0553
0.3821 0.6179 0.4447
0.6179 0.3821 0.5553
0.6179 0.3821 0.9447

Gd2YAl2Zn3Cd (GGA-PBE, relaxed); symmetry = No. 38; calculated volume = 193.5 Å³/cell; M_tot = 0.0 μB/f.u.; VASP energy = -3.490 eV per atom
1.0
4.4736 0.0000 0.0000
0.0000 6.1112 3.5385
0.0000 -6.1112 3.5385
Gd Y Al Zn Cd
2 1 2 3 1
Direct
0.0000 0.2145 0.7855
0.0000 0.7855 0.2145
0.0000 0.3558 0.3558
0.5000 0.1190 0.4514
0.5000 0.4514 0.1190
0.5000 0.0345 0.0345
0.5000 0.5354 0.7850
0.5000 0.7850 0.5354
0.0000 0.7837 0.7837

ReAsOs (GGA-PBE, relaxed); symmetry = No. 216; calculated volume = 195.4 Å³/cell; M_tot = 0.0 μB/f.u.; VASP energy = -8.654 eV per atom
1.0
5.8028 0.0000 0.0000
0.0000 5.8028 0.0000
0.0000 0.0000 5.8028
Re As Os
4 4 4
Direct
0.0000 0.0000 0.0000
0.0000 0.5000 0.5000
0.5000 0.0000 0.5000
0.5000 0.5000 0.0000
0.2500 0.2500 0.7500
0.2500 0.7500 0.2500
0.7500 0.2500 0.2500
0.7500 0.7500 0.7500
0.0000 0.0000 0.5000
0.0000 0.5000 0.0000
0.5000 0.0000 0.0000
0.5000 0.5000 0.5000

HfAuNO (GGA-PBE, relaxed); symmetry = No. 26; calculated volume = 155.7 Å³/cell; M_tot = 0.0 μB/f.u.; VASP energy = -8.140 eV per atom; energy above the lowest structure with this stoichiometry = 0 meV per atom
1.0
3.6037 0.0000 0.0000
0.0000 6.8692 0.0000
0.0000 0.0000 6.2891
Hf Au N O
2 2 2 2
Direct
0.0000 0.1625 0.0000
0.0000 0.8375 0.5000
0.5000 0.4978 0.7250
0.5000 0.5022 0.2250
0.5000 0.3072 0.9757
0.5000 0.6928 0.4757
0.0000 0.0210 0.2666
0.0000 0.9790 0.7666

NdIrI6 (GGA-PBE, relaxed); symmetry = No. 5; calculated volume = 687.9 Å³/cell; M_tot = 0.0 μB/f.u.; VASP energy = -3.573 eV per atom
1.0
7.4698 0.0000 0.0000
0.0000 12.9086 0.0000
-2.4293 0.0000 7.1336
Nd Ir I
2 2 12
Direct
0.0000 0.0000 0.0000
0.5000 0.5000 0.0000
0.0000 0.3316 0.0000
0.5000 0.8316 0.0000
0.2180 0.4783 0.2288
0.2196 0.1873 0.2330
0.2197 0.3304 0.7754
0.2804 0.6873 0.7670
0.2803 0.8304 0.2246
0.2820 0.9783 0.7712
0.7180 0.9783 0.2288
0.7196 0.6873 0.2330
0.7197 0.8304 0.7754
0.7804 0.1873 0.7670
0.7803 0.3304 0.2246
0.7820 0.4783 0.7712